No. 1
PBE-GGA HfZr2SbH, relaxed; electronic total energy = -7.340 eV/atom; crystal system = tetragonal; D(E_F) = 4.4 states/eV per cell; space-group type = No. 123
1.0
4.427 0.000 0.000
0.000 4.427 0.000
0.000 0.000 4.512
Hf Zr Sb H
1 2 1 1
direct
0.000 0.000 0.000
0.000 0.500 0.500
0.500 0.000 0.500
0.500 0.500 0.000
0.000 0.000 0.500

=====

No. 2
PBE-GGA EuGdTl, relaxed; electronic total energy = -9.084 eV/atom; crystal system = trigonal; energy of formation = -176 meV/atom; D(E_F) = 3.3 states/eV per cell; space-group type = No. 156
1.0
5.393 0.000 0.000
-2.697 4.671 0.000
0.000 0.000 3.781
Eu Gd Tl
1 1 1
direct
0.000 0.000 0.000
0.333 0.667 0.440
0.667 0.333 0.625

=====

No. 3
PBE-GGA AlSi2TcH, relaxed; electronic total energy = -4.941 eV/atom; crystal system = tetragonal; D(E_F) = 4.8 states/eV per cell; space-group type = No. 123
1.0
4.900 0.000 0.000
0.000 4.900 0.000
0.000 0.000 2.885
Al Si Tc H
1 2 1 1
direct
0.000 0.000 0.000
0.000 0.500 0.000
0.500 0.000 0.000
0.500 0.500 0.500
0.000 0.000 0.500

=====

No. 4
PBE-GGA ZrVSCl2, relaxed; electronic total energy = -5.390 eV/atom; crystal system = tetragonal; D(E_F) = 5.1 states/eV per cell; space-group type = No. 123; E_form (uncorrected) = -292 meV per atom
1.0
4.659 0.000 0.000
0.000 4.659 0.000
0.000 0.000 4.893
Zr V S Cl
1 1 1 2
direct
0.000 0.000 0.000
0.500 0.500 0.500
0.500 0.500 0.000
0.000 0.500 0.500
0.500 0.000 0.500

=====

No. 5
PBE-GGA HfCdTeN2, relaxed; electronic total energy = -5.940 eV/atom; crystal system = tetragonal; D(E_F) = 3.4 states/eV per cell; space-group type = No. 123; E_form (uncorrected) = 192 meV per atom
1.0
4.157 0.000 0.000
0.000 4.157 0.000
0.000 0.000 6.107
Hf Cd Te N
1 1 1 2
direct
0.000 0.000 0.000
0.500 0.500 0.500
0.000 0.000 0.500
0.000 0.500 0.000
0.500 0.000 0.000

=====

No. 6
PBE-GGA AcEu2Sn, relaxed; electronic total energy = -7.551 eV/atom; crystal system = tetragonal; energy of formation = -386 meV/atom; D(E_F) = 3.6 states/eV per cell; space-group type = No. 123
1.0
5.108 0.000 0.000
0.000 5.108 0.000
0.000 0.000 5.331
Ac Eu Sn
1 2 1
direct
0.000 0.000 0.000
0.000 0.500 0.500
0.500 0.000 0.500
0.500 0.500 0.000

=====

No. 7
PBE-GGA BaMgSi2, relaxed; electronic total energy = -3.278 eV/atom; crystal system = cubic; D(E_F) = 1.5 states/eV per cell; space-group type = No. 216; E_form (uncorrected) = 313 meV per atom
1.0
0.000 3.654 3.654
3.654 0.000 3.654
3.654 3.654 0.000
Ba Mg Si
1 1 2
direct
0.000 0.000 0.000
0.250 0.250 0.250
0.500 0.500 0.500
0.750 0.750 0.750

=====

No. 8
PBE-GGA Y10TmTh4, relaxed; electronic total energy = -5.738 eV/atom; crystal system = tetragonal; energy of formation = 848 meV/atom; D(E_F) = 28.7 states/eV per cell; space-group type = No. 87
1.0
-6.115 6.115 3.882
6.115 -6.115 3.882
6.115 6.115 -3.882
Y Tm Th
10 1 4
direct
0.049 0.348 0.898
0.151 0.049 0.701
0.250 0.750 0.500
0.348 0.450 0.299
0.450 0.151 0.102
0.550 0.849 0.898
0.652 0.550 0.701
0.750 0.250 0.500
0.849 0.951 0.299
0.951 0.652 0.102
0.000 0.000 0.000
0.202 0.398 0.600
0.398 0.798 0.196
0.602 0.202 0.804
0.798 0.602 0.400